1.
Below is crystalline K2MnCrPb at its relaxed geometry, with properties calculated at the PBE level.

Values from the calculation:
E_tot	-3.919	eV/atom
E_form	1.021	eV/atom

Lattice parameters (Å, degrees): 6.7831 6.7831 5.2882 90.00 90.00 90.00
Last column: nearest neighbours and their distance in Å.
Space group P4/mmm (No. 123)
Symmetry-distinct sites (fractional):
K  0.0000  0.5000  0.0000  2 Pb 3.39
Mn  0.0000  0.0000  0.5000  8 K 4.30, 4 Cr 4.80
Cr  0.5000  0.5000  0.5000  2 Pb 2.64
Pb  0.5000  0.5000  0.0000  2 Cr 2.64

2.
Below is crystalline K2MnCrRh at its relaxed geometry, with properties calculated at the PBE level.

Values from the calculation:
E_tot	-3.868	eV/atom
E_form	1.799	eV/atom

Lattice parameters (Å, degrees): 6.2619 6.2619 3.8508 90.00 90.00 90.00
Last column: nearest neighbours and their distance in Å.
Space group P4/mmm (No. 123)
Symmetry-distinct sites (fractional):
K  0.0000  0.5000  0.0000  2 Mn 3.13
Mn  0.0000  0.0000  0.0000  2 Cr 1.93
Cr  0.0000  0.0000  0.5000  2 Mn 1.93
Rh  0.5000  0.5000  0.5000  8 K 3.68, 2 Rh 3.85